# Er10Tm4Pu | Alexandria via LeMat-Bulk | PBE-GGA | optimized geometry
data_Er10Tm4Pu
_chemical_formula_sum 'Er20 Tm8 Pu2'
_cell_length_a 11.132
_cell_length_b 11.132
_cell_length_c 7.581
_cell_angle_alpha 90.00
_cell_angle_beta 90.00
_cell_angle_gamma 90.00
_space_group_name_H-M_alt 'I 4/m m m'
_space_group_IT_number 139
_space_group_name_Hall '-I 4 2'
loop_
_atom_site_label
_atom_site_type_symbol
_atom_site_fract_x
_atom_site_fract_y
_atom_site_fract_z
_atom_site_occupancy
Er1 Er 0.000 0.209 0.214 1
Er2 Er 0.000 0.500 0.250 1
Tm1 Tm 0.232 0.232 0.500 1
Pu1 Pu 0.000 0.000 0.500 1
# E_form (meV per atom): 264


# Er2Tm2Pu | Alexandria via LeMat-Bulk | PBE-GGA | optimized geometry
data_Er2Tm2Pu
_chemical_formula_sum 'Er8 Tm8 Pu4'
_cell_length_a 6.594
_cell_length_b 15.243
_cell_length_c 5.868
_cell_angle_alpha 90.00
_cell_angle_beta 90.00
_cell_angle_gamma 90.00
_space_group_name_H-M_alt 'I b a m'
_space_group_IT_number 72
_space_group_name_Hall '-I 2 2c'
loop_
_atom_site_label
_atom_site_type_symbol
_atom_site_fract_x
_atom_site_fract_y
_atom_site_fract_z
_atom_site_occupancy
Er1 Er 0.155 0.190 0.000 1
Tm1 Tm 0.129 0.411 0.000 1
Pu1 Pu 0.000 0.000 0.250 1
# E_form (meV per atom): 100


# Er3Tm7Pu | Alexandria via LeMat-Bulk | PBE-GGA | optimized geometry
data_Er3Tm7Pu
_chemical_formula_sum 'Er3 Tm7 Pu1'
_cell_length_a 6.9069
_cell_length_b 6.9069
_cell_length_c 8.4170
_cell_angle_alpha 90.00
_cell_angle_beta 90.00
_cell_angle_gamma 120.00
_space_group_name_H-M_alt 'P 3 m 1'
_space_group_IT_number 156
loop_
_space_group_symop_operation_xyz
'x,y,z'
'-y,x-y,z'
'-x+y,-x,z'
'-y,-x,z'
'-x+y,y,z'
'x,x-y,z'
loop_
_atom_site_label
_atom_site_type_symbol
_atom_site_fract_x
_atom_site_fract_y
_atom_site_fract_z
_atom_site_occupancy
Er1 Er 0.0034 0.5017 0.0000 1
Tm1 Tm 0.1690 0.3379 0.6594 1
Tm2 Tm 0.3350 0.1675 0.3327 1
Tm3 Tm 0.6667 0.3333 0.6651 1
Pu1 Pu 0.3333 0.6667 0.3294 1
# E_form (meV per atom): 212


# Er5Tm2Pu | Alexandria via LeMat-Bulk | PBE-GGA | optimized geometry
data_Er5Tm2Pu
_chemical_formula_sum 'Er10 Tm4 Pu2'
_cell_length_a 6.259
_cell_length_b 6.712
_cell_length_c 11.676
_cell_angle_alpha 97.35
_cell_angle_beta 96.40
_cell_angle_gamma 90.55
_space_group_name_H-M_alt 'P -1'
_space_group_IT_number 2
loop_
_space_group_symop_operation_xyz
'x,y,z'
'-x,-y,-z'
loop_
_atom_site_label
_atom_site_type_symbol
_atom_site_fract_x
_atom_site_fract_y
_atom_site_fract_z
_atom_site_occupancy
Er1 Er 0.001 0.253 0.003 1
Er2 Er 0.229 0.072 0.243 1
Er3 Er 0.245 0.449 0.480 1
Er4 Er 0.260 0.210 0.752 1
Er5 Er 0.261 0.705 0.744 1
Tm1 Tm 0.000 0.000 0.500 1
Tm2 Tm 0.500 0.000 0.000 1
Tm3 Tm 0.500 0.000 0.500 1
Tm4 Tm 0.500 0.500 0.000 1
Pu1 Pu 0.252 0.588 0.238 1
# E_form (meV per atom): 173